# 1
# TiC3I GGA-PBE optimized geometry
# formation energy without anion corrections	2.224	eV per atom
# relative energy among the computed polymorphs	0	meV/atom
data_TiC3I
_cell_length_a 4.210
_cell_length_b 4.210
_cell_length_c 4.210
_cell_angle_alpha 90.00
_cell_angle_beta 90.00
_cell_angle_gamma 90.00
_symmetry_space_group_name_H-M 'P m -3 m'
_symmetry_Int_Tables_number 221
_symmetry_space_group_name_Hall '-P 4 2 3'
loop_
_atom_site_label
_atom_site_type_symbol
_atom_site_fract_x
_atom_site_fract_y
_atom_site_fract_z
_atom_site_occupancy
Ti1 Ti 0.000 0.000 0.000 1
C1 C 0.000 0.000 0.500 1
I1 I 0.500 0.500 0.500 1

---

# 2
# TiC2I2 GGA-PBE optimized geometry
# formation energy without anion corrections	1.519	eV per atom
# relative energy among the computed polymorphs	591	meV/atom
data_TiC2I2
_cell_length_a 6.478
_cell_length_b 6.478
_cell_length_c 4.607
_cell_angle_alpha 90.00
_cell_angle_beta 90.00
_cell_angle_gamma 90.00
_symmetry_space_group_name_H-M 'P 4/m b m'
_symmetry_Int_Tables_number 127
_symmetry_space_group_name_Hall '-P 4 2ab'
loop_
_atom_site_label
_atom_site_type_symbol
_atom_site_fract_x
_atom_site_fract_y
_atom_site_fract_z
_atom_site_occupancy
Ti1 Ti 0.000 0.000 0.000 1
C1 C 0.244 0.256 0.000 1
I1 I 0.190 0.310 0.500 1

---

# 3
# TiC3I GGA-PBE optimized geometry
# formation energy without anion corrections	2.970	eV per atom
# relative energy among the computed polymorphs	746	meV/atom
data_TiC3I
_cell_length_a 4.073
_cell_length_b 4.073
_cell_length_c 4.073
_cell_angle_alpha 90.00
_cell_angle_beta 90.00
_cell_angle_gamma 90.00
_symmetry_space_group_name_H-M 'P m -3 m'
_symmetry_Int_Tables_number 221
_symmetry_space_group_name_Hall '-P 4 2 3'
loop_
_atom_site_label
_atom_site_type_symbol
_atom_site_fract_x
_atom_site_fract_y
_atom_site_fract_z
_atom_site_occupancy
Ti1 Ti 0.000 0.000 0.000 1
C1 C 0.000 0.500 0.500 1
I1 I 0.500 0.500 0.500 1

---

# 4
# TiCI3 GGA-PBE optimized geometry
# formation energy without anion corrections	1.327	eV per atom
# relative energy among the computed polymorphs	259	meV/atom
data_TiCI3
_cell_length_a 4.973
_cell_length_b 4.973
_cell_length_c 4.973
_cell_angle_alpha 90.00
_cell_angle_beta 90.00
_cell_angle_gamma 90.00
_symmetry_space_group_name_H-M 'P m -3 m'
_symmetry_Int_Tables_number 221
_symmetry_space_group_name_Hall '-P 4 2 3'
loop_
_atom_site_label
_atom_site_type_symbol
_atom_site_fract_x
_atom_site_fract_y
_atom_site_fract_z
_atom_site_occupancy
Ti1 Ti 0.000 0.000 0.000 1
C1 C 0.500 0.500 0.500 1
I1 I 0.000 0.500 0.500 1